A plane-wave DFT calculation with PBE-GGA was carried out for a geometry-optimized Ba2Ga3SbAu4 structure.

Properties
DOS at the Fermi energy   5.109 states/eV/f.u.
V   24.753 Å³/atom
Raw total energy   -36.0 eV per formula unit
ΔE_f (raw)   -5.83 eV per formula unit

The structure in POSCAR format:
```
Ba2Ga3SbAu4
1.0
4.876 0.000 0.000
0.000 4.876 0.000
0.000 0.000 10.412
Ba Ga Sb Au
2 3 1 4
Cartesian
0.000 2.438 2.557
2.438 0.000 7.855
0.000 2.438 9.298
2.438 0.000 1.114
2.438 2.438 5.206
0.000 0.000 5.206
0.000 0.000 0.000
0.000 2.438 6.693
2.438 0.000 3.719
2.438 2.438 0.000
```